Entry 1:
# Al2SiMoCl

A relaxed structure of Al2SiMoCl (PBE, the Alexandria database).

Unit cell a=4.854 b=4.736 c=4.854 alpha=90.00 beta=90.00 gamma=90.00
Site moments in Bohr magnetons follow the coordinates.
Fractional positions:
Mo 0.000 0.500 0.000  1.89
Al 0.000 0.000 0.500  -0.02
Al 0.500 0.000 0.000  -0.02
Si 0.000 0.000 0.000  -0.03
Cl 0.500 0.500 0.500  0.07

Calculated values
SG: P4/mmm, No. 123


Entry 2:
# SrAlMoCl2

A relaxed structure of SrAlMoCl2 (PBE, the Alexandria database).

Unit cell a=5.351 b=7.692 c=5.351 alpha=90.00 beta=90.00 gamma=90.00
Site moments in Bohr magnetons follow the coordinates.
Fractional positions:
Sr 0.000 0.000 0.000  -0.01
Mo 0.500 0.500 0.500  3.95
Al 0.000 0.500 0.000  -0.01
Cl 0.000 0.000 0.500  0.01
Cl 0.500 0.000 0.000  0.01

Calculated values
SG: P4/mmm, No. 123


Entry 3:
# AlN3Cl

A relaxed structure of AlN3Cl (PBE, the Alexandria database).

Unit cell a=3.902 b=3.902 c=3.902 alpha=90.00 beta=90.00 gamma=90.00
Site moments in Bohr magnetons follow the coordinates.
Fractional positions:
N 0.000 0.500 0.000  0.94
N 0.000 0.000 0.500  0.89
N 0.500 0.000 0.000  0.83
Al 0.000 0.000 0.000  -0.03
Cl 0.500 0.500 0.500  0.14

Calculated values
SG: Pm-3m, No. 221


Number 1: D(E_F) 3.1 states/eV/f.u., calculated total energy -4.32 eV/atom, formation energy from raw total energies 0.800 eV per atom. Number 2: D(E_F) 2.1 states/eV/f.u., calculated total energy -3.69 eV/atom, formation energy from raw total energies 0.298 eV per atom. Number 3: D(E_F) 3.4 states/eV/f.u., calculated total energy -4.48 eV/atom, formation energy from raw total energies 1.632 eV per atom.